# 1
VASP calculation (PBE) on crystalline Rb2U3NbO12 at its relaxed geometry. Values from VASP.

The structure in Quantum ESPRESSO input format:
```
&SYSTEM
  ibrav = 0, nat = 18, ntyp = 4
/
ATOMIC_SPECIES
Rb 85.47 Rb.upf
U 238.03 U.upf
Nb 92.91 Nb.upf
O 16.00 O.upf
CELL_PARAMETERS angstrom
3.9506 2.2809 6.2287
-3.9506 2.2809 6.2287
0.0000 -4.5618 6.2287
ATOMIC_POSITIONS crystal
Rb 0.1279 0.1279 0.1279
Rb 0.8721 0.8721 0.8721
U 0.0000 0.5000 0.5000
U 0.5000 0.0000 0.5000
U 0.5000 0.5000 0.0000
Nb 0.5000 0.5000 0.5000
O 0.1796 0.1796 0.5642
O 0.1796 0.5642 0.1796
O 0.1962 0.5611 0.5611
O 0.4358 0.8204 0.8204
O 0.4389 0.4389 0.8038
O 0.4389 0.8038 0.4389
O 0.5611 0.1962 0.5611
O 0.5611 0.5611 0.1962
O 0.5642 0.1796 0.1796
O 0.8038 0.4389 0.4389
O 0.8204 0.4358 0.8204
O 0.8204 0.8204 0.4358
```

Results
Crystal system   trigonal
Mass density   5.8 Mg/m³
Magnetic moment   1.01 Bohr magnetons per cell
E_form (uncorrected)   -2.8711 eV per atom
DOS at the Fermi energy   7.66 states/eV/f.u.
Space-group type   R-3m

***

# 2
VASP calculation (PBE) on crystalline SmDyMg2Au4 at its relaxed geometry. Values from VASP.

The structure in Quantum ESPRESSO input format:
```
&SYSTEM
  ibrav = 0, nat = 8, ntyp = 4
/
ATOMIC_SPECIES
Sm 150.36 Sm.upf
Dy 162.50 Dy.upf
Mg 24.30 Mg.upf
Au 196.97 Au.upf
CELL_PARAMETERS angstrom
2.4760 1.4295 8.0346
-2.4760 1.4295 8.0346
0.0000 -2.8591 8.0346
ATOMIC_POSITIONS crystal
Sm 0.0000 0.0000 0.0000
Dy 0.5000 0.5000 0.5000
Mg 0.2496 0.2496 0.2496
Mg 0.7504 0.7504 0.7504
Au 0.1279 0.1279 0.1279
Au 0.3768 0.3768 0.3768
Au 0.6232 0.6232 0.6232
Au 0.8721 0.8721 0.8721
```

Results
Crystal system   trigonal
Mass density   11.2 Mg/m³
Magnetic moment   0.00 Bohr magnetons per cell
Calculated formation energy   -766 meV per atom
DOS at the Fermi energy   5.00 states/eV/f.u.
Space-group type   R-3m

***

# 3
VASP calculation (PBE) on crystalline Pr2TmNpAs4 at its relaxed geometry. Values from VASP.

The structure in Quantum ESPRESSO input format:
```
&SYSTEM
  ibrav = 0, nat = 8, ntyp = 4
/
ATOMIC_SPECIES
Pr 140.91 Pr.upf
Tm 168.93 Tm.upf
Np 237.00 Np.upf
As 74.92 As.upf
CELL_PARAMETERS angstrom
7.2523 0.0000 0.0000
0.0000 4.1902 0.0000
-2.4034 0.0000 6.8625
ATOMIC_POSITIONS crystal
Pr 0.0000 0.0000 0.0000
Pr 0.5000 0.5000 0.0000
Tm 0.0000 0.5000 0.5000
Np 0.5000 0.0000 0.5000
As 0.2457 0.0000 0.7337
As 0.2552 0.5000 0.2657
As 0.7448 0.5000 0.7343
As 0.7543 0.0000 0.2663
```

Results
Crystal system   monoclinic
Mass density   7.9 Mg/m³
Magnetic moment   3.73 Bohr magnetons per cell
Calculated formation energy   -1280 meV per atom
DOS at the Fermi energy   11.87 states/eV/f.u.
Space-group type   P2/m

***

# 4
VASP calculation (PBE) on crystalline Sr3Zn2Au7 at its relaxed geometry. Values from VASP.

The structure in Quantum ESPRESSO input format:
```
&SYSTEM
  ibrav = 0, nat = 12, ntyp = 3
/
ATOMIC_SPECIES
Sr 87.62 Sr.upf
Zn 65.41 Zn.upf
Au 196.97 Au.upf
CELL_PARAMETERS angstrom
-2.2707 2.2707 13.9994
2.2707 -2.2707 13.9994
2.2707 2.2707 -13.9994
ATOMIC_POSITIONS crystal
Sr 0.0000 0.0000 0.0000
Sr 0.1710 0.1710 0.0000
Sr 0.8290 0.8290 0.0000
Zn 0.3762 0.3762 0.0000
Zn 0.6238 0.6238 0.0000
Au 0.0794 0.5794 0.5000
Au 0.2843 0.2843 0.0000
Au 0.4206 0.9206 0.5000
Au 0.5000 0.5000 0.0000
Au 0.5794 0.0794 0.5000
Au 0.7157 0.7157 0.0000
Au 0.9206 0.4206 0.5000
```

Results
Crystal system   tetragonal
Mass density   10.2 Mg/m³
Magnetic moment   0.00 Bohr magnetons per cell
Calculated formation energy   -497 meV per atom
DOS at the Fermi energy   4.68 states/eV/f.u.
Space-group type   I4/mmm

***

Number 1: V 336.8 Å³/f.u.. Number 2: V 170.6 Å³/f.u.. Number 3: V 208.5 Å³/f.u.. Number 4: V 288.7 Å³/f.u..